A relaxed ReSbCl2 crystal, computed with PBE-GGA.

Cell lengths 4.162, 4.162, 8.613 Å; angles 93.83, 93.83, 45.98 degrees
Atoms (fractional coordinates):
Re1 0.000 0.000 0.000
Sb1 0.276 0.276 0.844
Cl1 0.255 0.255 0.567
Cl2 0.510 0.510 0.204

Computed properties:
Calculated volume: 107.0 Å³/f.u.
Excess energy over the best structure of this formula in the dataset: 0 meV/atom
Calculated total energy: -5.06 eV/atom
Formation energy (no corrections): 0.6 kJ per mole of atoms

=====

A relaxed CaSi12Ni4 crystal, computed with PBE-GGA.

Cell lengths 6.987, 6.987, 6.987 Å; angles 109.47, 109.47, 109.47 degrees
Atoms (fractional coordinates):
Ca1 0.000 0.000 0.000
Si1 0.161 0.352 0.512
Si2 0.161 0.648 0.809
Si3 0.191 0.839 0.352
Si4 0.352 0.191 0.839
Si5 0.352 0.512 0.161
Si6 0.488 0.839 0.648
Si7 0.512 0.161 0.352
Si8 0.648 0.488 0.839
Si9 0.648 0.809 0.161
Si10 0.809 0.161 0.648
Si11 0.839 0.352 0.191
Si12 0.839 0.648 0.488
Ni1 0.000 0.000 0.500
Ni2 0.000 0.500 0.000
Ni3 0.500 0.000 0.000
Ni4 0.500 0.500 0.500

Computed properties:
Calculated volume: 262.5 Å³/f.u.
Calculated total energy: -5.46 eV/atom
Formation energy (no corrections): -15.1 kJ per mole of atoms